# 1
Entry from Alexandria: Al2P3H11O13 at its PBEsol-relaxed geometry (SCAN).

Cell lengths 7.387, 8.216, 9.825 Å; angles 90.00, 90.00, 110.15 degrees
Element x y z (fractional)
Al: 0.434 0.976 0.851
Al: 0.911 0.616 0.579
Al: 0.566 0.024 0.351
Al: 0.089 0.384 0.079
P: 0.233 0.987 0.573
P: 0.767 0.013 0.073
P: 0.960 0.337 0.386
P: 0.290 0.100 0.130
P: 0.040 0.663 0.886
P: 0.710 0.900 0.630
H: 0.058 0.218 0.399
H: 0.246 0.414 0.820
H: 0.163 0.936 0.172
H: 0.942 0.782 0.899
H: 0.837 0.064 0.672
H: 0.753 0.753 0.411
H: 0.261 0.768 0.391
H: 0.905 0.937 0.040
H: 0.540 0.451 0.622
H: 0.247 0.247 0.911
H: 0.597 0.365 0.193
H: 0.639 0.333 0.531
H: 0.653 0.283 0.746
H: 0.739 0.232 0.891
H: 0.240 0.490 0.612
H: 0.403 0.635 0.693
H: 0.361 0.667 0.031
H: 0.460 0.549 0.122
H: 0.095 0.063 0.540
H: 0.347 0.717 0.246
H: 0.760 0.510 0.112
H: 0.754 0.586 0.320
O: 0.806 0.656 0.405
O: 0.743 0.241 0.400
O: 0.592 0.928 0.982
O: 0.274 0.026 0.724
O: 0.360 0.808 0.317
O: 0.408 0.072 0.482
O: 0.325 0.093 0.976
O: 0.660 0.417 0.609
O: 0.352 0.507 0.673
O: 0.640 0.192 0.817
O: 0.648 0.493 0.173
O: 0.976 0.538 0.007
O: 0.194 0.344 0.905
O: 0.525 0.859 0.714
O: 0.675 0.907 0.476
O: 0.854 0.208 0.038
O: 0.146 0.792 0.538
O: 0.984 0.568 0.751
O: 0.257 0.759 0.900
O: 0.024 0.462 0.507
O: 0.340 0.583 0.109
O: 0.805 0.766 0.657
O: 0.475 0.141 0.214
O: 0.016 0.432 0.251
O: 0.195 0.234 0.157
O: 0.726 0.974 0.224

## Properties
As for the uncorrected energy: -217.56 eV/f.u. The spin magnetization is 0.0 μB per cell. The density of states at the Fermi level comes out at 0.00 states/eV per cell.

---

# 2
Entry from Alexandria: CrNi2Pt at its PBEsol-relaxed geometry (SCAN).

Cell lengths 3.593, 3.593, 4.452 Å; angles 113.80, 113.80, 90.00 degrees
Site moments in Bohr magnetons follow the coordinates.
Element x y z (fractional)
Ni: 0.000 0.000 0.000  -0.28
Ni: 0.750 0.250 0.500  -0.37
Pt: 0.500 0.500 0.000  -0.15
Cr: 0.250 0.750 0.500  2.37

## Properties
The formation energy comes out at -0.2330 eV per atom. The spin magnetization is 1.7 μB per cell. The density of states at the Fermi level comes out at 3.58 states/eV per cell.

---

# 3
Entry from Alexandria: Eu2I2O at its PBEsol-relaxed geometry (SCAN).

Cell lengths 6.256, 7.287, 7.901 Å; angles 117.46, 113.32, 90.00 degrees
Site moments in Bohr magnetons follow the coordinates.
Element x y z (fractional)
Eu: 0.091 0.768 0.181  6.88
Eu: 0.409 0.587 0.819  6.88
Eu: 0.591 0.413 0.181  6.88
Eu: 0.909 0.232 0.819  6.88
I: 0.851 0.704 0.702  -0.03
I: 0.351 0.998 0.702  -0.03
I: 0.649 0.002 0.298  -0.03
I: 0.149 0.296 0.298  -0.03
O: 0.250 0.500 0.000  -0.12
O: 0.750 0.500 0.000  -0.12

## Properties
As for the uncorrected energy: -198.62 eV/f.u. The spin magnetization is 28.0 μB per cell. The density of states at the Fermi level comes out at 21.74 states/eV per cell.

---

# 4
Entry from Alexandria: Sc6Te2Rh at its PBEsol-relaxed geometry (SCAN).

Cell lengths 3.725, 7.693, 7.693 Å; angles 120.00, 90.00, 90.00 degrees
Element x y z (fractional)
Sc: 0.000 0.757 0.757
Sc: 0.000 0.243 0.000
Sc: 0.000 0.000 0.243
Sc: 0.500 0.392 0.392
Sc: 0.500 0.608 0.000
Sc: 0.500 0.000 0.608
Te: 0.000 0.333 0.667
Te: 0.000 0.667 0.333
Rh: 0.500 0.000 0.000

## Properties
As for the uncorrected energy: -201.66 eV/f.u. The spin magnetization is 0.0 μB per cell. The density of states at the Fermi level comes out at 9.74 states/eV per cell.

---

Repeat the second record exactly.
Entry from Alexandria: CrNi2Pt at its PBEsol-relaxed geometry (SCAN).

Cell lengths 3.593, 3.593, 4.452 Å; angles 113.80, 113.80, 90.00 degrees
Site moments in Bohr magnetons follow the coordinates.
Element x y z (fractional)
Ni: 0.000 0.000 0.000  -0.28
Ni: 0.750 0.250 0.500  -0.37
Pt: 0.500 0.500 0.000  -0.15
Cr: 0.250 0.750 0.500  2.37

## Properties
The formation energy comes out at -0.2330 eV per atom. The spin magnetization is 1.7 μB per cell. The density of states at the Fermi level comes out at 3.58 states/eV per cell.